Entry 1:
DFT (PBE) results for KCoMo2S8 after structural relaxation.

Total magnetization in μB per atom: 0.0000
Energy relative to the elements, uncorrected in eV per atom: -0.415
V in Å³/cell: 291.4
Total DFT energy (no corrections) in hartree per atom: -0.2078

Cell lengths 9.8037, 9.8037, 9.8037 Å; angles 36.02, 36.02, 36.02 degrees
Last column: nearest neighbours and their distance in Å.
Fractional positions:
K1 0.0000 0.0000 0.0000  12 S 3.52-3.85
Co1 0.5000 0.5000 0.5000  6 S 2.28
Mo1 0.2392 0.2392 0.2392  4 S 2.18-2.22
Mo2 0.7608 0.7608 0.7608  4 S 2.18-2.22
S1 0.1496 0.7534 0.4486  1 Mo 2.22, 1 Co 2.28
S2 0.2466 0.5514 0.8503  1 Mo 2.22, 1 Co 2.28
S3 0.3185 0.3185 0.3185  1 Mo 2.18
S4 0.4486 0.1496 0.7534  1 Mo 2.22, 1 Co 2.28
S5 0.5514 0.8503 0.2466  1 Mo 2.22, 1 Co 2.28
S6 0.6815 0.6815 0.6815  1 Mo 2.18
S7 0.7534 0.4486 0.1497  1 Mo 2.22, 1 Co 2.28
S8 0.8503 0.2466 0.5514  1 Mo 2.22, 1 Co 2.28

Entry 2:
DFT (PBE) results for K2CoMoSe after structural relaxation.

Total magnetization in μB per atom: 0.3206
Energy relative to the elements, uncorrected in eV per atom: 0.911
V in Å³/cell: 156.8
Total DFT energy (no corrections) in hartree per atom: -0.1401

Cell lengths 5.9809, 5.9809, 4.3824 Å; angles 90.00, 90.00, 90.00 degrees
Last column: nearest neighbours and their distance in Å.
Fractional positions:
K1 0.0000 0.5000 0.0000  2 Co 2.99
K2 0.5000 0.0000 0.0000  2 Co 2.99
Co1 0.0000 0.0000 0.0000  2 Mo 2.19
Mo1 0.0000 0.0000 0.5000  2 Co 2.19
Se1 0.5000 0.5000 0.5000  8 K 3.71

Entry 3:
DFT (PBE) results for KCoN3 after structural relaxation.

Total magnetization in μB per atom: 0.0001
Energy relative to the elements, uncorrected in eV per atom: 3.905
V in Å³/cell: 68.7
Total DFT energy (no corrections) in hartree per atom: -0.1004

Cell lengths 4.0960, 4.0960, 4.0960 Å; angles 90.00, 90.00, 90.00 degrees
Last column: nearest neighbours and their distance in Å.
Fractional positions:
K1 0.0000 0.0000 0.0000  6 N 2.05
Co1 0.5000 0.5000 0.5000  12 N 2.90
N1 0.0000 0.0000 0.5000  2 K 2.05
N2 0.0000 0.5000 0.0000  2 K 2.05
N3 0.5000 0.0000 0.0000  2 K 2.05

Entry 4:
DFT (PBE) results for KCo2N after structural relaxation.

Total magnetization in μB per atom: 0.3310
Energy relative to the elements, uncorrected in eV per atom: 0.285
V in Å³/cell: 140.0
Total DFT energy (no corrections) in hartree per atom: -0.2067

Cell lengths 5.8281, 5.8281, 5.8281 Å; angles 60.00, 60.00, 60.00 degrees
Last column: nearest neighbours and their distance in Å.
Fractional positions:
K1 0.1250 0.1250 0.1250  12 Co 3.42, 4 K 3.57, 4 N 3.57
K2 0.8750 0.8750 0.8750  12 Co 3.42, 4 K 3.57, 4 N 3.57
Co1 0.0000 0.5000 0.5000  2 N 1.78
Co2 0.5000 0.0000 0.5000  2 N 1.78
Co3 0.5000 0.5000 0.0000  2 N 1.78
Co4 0.5000 0.5000 0.5000  2 N 1.78
N1 0.3750 0.3750 0.3750  4 Co 1.78
N2 0.6250 0.6250 0.6250  4 Co 1.78

Entry 5:
DFT (PBE) results for KCoN3 after structural relaxation.

Total magnetization in μB per atom: 0.0002
Energy relative to the elements, uncorrected in eV per atom: 1.440
V in Å³/cell: 55.4
Total DFT energy (no corrections) in hartree per atom: -0.1910

Cell lengths 3.8114, 3.8114, 3.8114 Å; angles 90.00, 90.00, 90.00 degrees
Last column: nearest neighbours and their distance in Å.
Fractional positions:
K1 0.0000 0.0000 0.0000  12 N 2.70
Co1 0.5000 0.5000 0.5000  6 N 1.91
N1 0.0000 0.5000 0.5000  2 Co 1.91
N2 0.5000 0.0000 0.5000  2 Co 1.91
N3 0.5000 0.5000 0.0000  2 Co 1.91

Entry 6:
DFT (PBE) results for KNpCoN3 after structural relaxation.

Total magnetization in μB per atom: 0.3526
Energy relative to the elements, uncorrected in eV per atom: -0.520
V in Å³/cell: 204.6
Total DFT energy (no corrections) in hartree per atom: -0.3016

Cell lengths 7.6763, 3.4705, 8.0032 Å; angles 90.00, 106.36, 90.00 degrees
Last column: nearest neighbours and their distance in Å.
Fractional positions:
K1 0.2002 0.2500 0.2259  5 N 2.96-3.20, 2 Co 3.28
K2 0.7998 0.7500 0.7741  5 N 2.96-3.20, 2 Co 3.28
Np1 0.3333 0.7500 0.8437  6 N 2.17-2.26
Np2 0.6667 0.2500 0.1563  6 N 2.17-2.26
Co1 0.0667 0.2500 0.6008  4 N 1.85-1.91
Co2 0.9333 0.7500 0.3992  4 N 1.85-1.91
N1 0.1547 0.7500 0.5671  3 Co 1.85-1.91
N2 0.1635 0.2500 0.8471  1 Co 1.90
N3 0.4809 0.7500 0.1315  3 Np 2.22-2.26
N4 0.5191 0.2500 0.8685  3 Np 2.22-2.26
N5 0.8365 0.7500 0.1529  1 Co 1.90
N6 0.8453 0.2500 0.4329  3 Co 1.85-1.91

The highest total DFT energy (no corrections) belongs to which entry? number 3